[1]
Density functional theory data (GGA-PBE) for a relaxed Tb3SmDy4Se8 crystal.

The structure in POSCAR format:
```
Tb3SmDy4Se8
1.0
4.0944 2.3639 6.6945
-4.0944 2.3639 6.6945
0.0000 -4.7278 6.6945
Tb Sm Dy Se
3 1 4 8
Direct
0.0000 0.5000 0.5000
0.5000 0.0000 0.5000
0.5000 0.5000 0.0000
0.0000 0.0000 0.0000
0.0000 0.0000 0.5000
0.0000 0.5000 0.0000
0.5000 0.0000 0.0000
0.5000 0.5000 0.5000
0.2493 0.2493 0.2493
0.2517 0.7469 0.7469
0.2531 0.2531 0.7483
0.2531 0.7483 0.2531
0.7469 0.2517 0.7469
0.7469 0.7469 0.2517
0.7483 0.2531 0.2531
0.7507 0.7507 0.7507
```

Calculated values
ΔE_f (raw) (meV per atom): -1761
Mass density (g/cm³): 8.15


[2]
Density functional theory data (GGA-PBE) for a relaxed Tb2Sm3DySe6 crystal.

The structure in POSCAR format:
```
Tb2Sm3DySe6
1.0
3.5549 -6.1965 0.0000
3.5549 6.1965 0.0000
-2.3844 0.0000 6.7842
Tb Sm Dy Se
2 3 1 6
Direct
0.1667 0.8333 0.0000
0.8333 0.1667 0.0000
0.0000 0.0000 0.5000
0.3322 0.6678 0.5000
0.6678 0.3322 0.5000
0.5000 0.5000 0.0000
0.0875 0.4195 0.7581
0.2489 0.2489 0.2428
0.4195 0.0875 0.7581
0.5805 0.9125 0.2419
0.7511 0.7511 0.7572
0.9125 0.5805 0.2419
```

Calculated values
ΔE_f (raw) (meV per atom): -1795
Mass density (g/cm³): 7.81


[3]
Density functional theory data (GGA-PBE) for a relaxed Tb3SmDy2Se6 crystal.

The structure in POSCAR format:
```
Tb3SmDy2Se6
1.0
3.5377 -6.1653 0.0000
3.5377 6.1653 0.0000
-2.3700 0.0000 6.7062
Tb Sm Dy Se
3 1 2 6
Direct
0.0000 0.0000 0.0000
0.3376 0.6624 0.0000
0.6624 0.3376 0.0000
0.5000 0.5000 0.5000
0.1659 0.8341 0.5000
0.8341 0.1659 0.5000
0.0766 0.4163 0.2480
0.2437 0.2437 0.7489
0.4163 0.0766 0.2480
0.5837 0.9234 0.7520
0.7563 0.7563 0.2511
0.9234 0.5837 0.7520
```

Calculated values
ΔE_f (raw) (meV per atom): -1774
Mass density (g/cm³): 8.09


[4]
Density functional theory data (GGA-PBE) for a relaxed TbSm2DySe4 crystal.

The structure in POSCAR format:
```
TbSm2DySe4
1.0
7.1290 0.0000 0.0000
0.0000 4.0738 0.0000
-2.3343 0.0000 6.8564
Tb Sm Dy Se
1 2 1 4
Direct
0.0000 0.0000 0.0000
0.0000 0.5000 0.5000
0.5000 0.0000 0.5000
0.5000 0.5000 0.0000
0.2482 0.5000 0.2419
0.2539 0.0000 0.7587
0.7461 0.0000 0.2413
0.7518 0.5000 0.7581
```

Calculated values
ΔE_f (raw) (meV per atom): -1789
Mass density (g/cm³): 7.82


DFT total energy list, top to bottom, in eV/atom: -5.817 -5.872 -5.834 -5.865